# PaCrCoO6 | the Alexandria database | GGA+U | optimized geometry
data_PaCrCoO6
_chemical_formula_sum 'Pa2 Cr2 Co2 O12'
_symmetry_space_group_name_H-M 'P 1'
_symmetry_Int_Tables_number 1
_symmetry_space_group_name_Hall 'P 1'
_cell_length_a 5.349
_cell_length_b 5.349
_cell_length_c 8.622
_cell_angle_alpha 90.00
_cell_angle_beta 90.00
_cell_angle_gamma 120.00
loop_
_atom_site_label
_atom_site_fract_x
_atom_site_fract_y
_atom_site_fract_z
Pa1 0.333 0.667 0.250
Pa2 0.667 0.333 0.750
Cr1 0.333 0.667 0.750
Cr2 0.667 0.333 0.250
Co1 0.000 0.000 0.000
Co2 0.000 0.000 0.500
O1 0.034 0.360 0.628
O2 0.034 0.674 0.872
O3 0.326 0.360 0.872
O4 0.326 0.966 0.628
O5 0.360 0.034 0.128
O6 0.360 0.326 0.372
O7 0.640 0.674 0.628
O8 0.640 0.966 0.872
O9 0.674 0.034 0.372
O10 0.674 0.640 0.128
O11 0.966 0.326 0.128
O12 0.966 0.640 0.372
# * volume: 213.7 Å³/cell
# * DFT total energy: -7.735 eV per atom
# * SG: P-31c (163)